Entry from the Alexandria database: a geometry-optimized ErSc2Ga structure (PBE-GGA).

Cell: 3.2910 3.2910 31.9610 Å, 90.00 90.00 120.00°
Closest atoms and distances in Å follow each position.
Space group R-3m (No. 166, hexagonal axes)
Inequivalent atoms, fractional coordinates:
Er1 0.0000 0.0000 0.0000 [3 per cell]  2 Sc 3.23, 6 Er 3.29
Sc1 0.0000 0.0000 0.1010 [6 per cell]  3 Ga 2.83
Ga1 0.0000 0.0000 0.5000 [3 per cell]  6 Sc 2.83

Computed properties:
density: 5.43 g cm⁻³
E: -5.06 eV/atom
crystal system: trigonal
energy relative to the elements: 0.00 eV/atom